Here is a geometry-optimized CeTaMnO6 structure from Alexandria via LeMat-Bulk. Energies are from PBE+U.

```
CeTaMnO6
1.0
4.8612 0.0000 0.0000
0.0000 4.8612 0.0000
0.0000 0.0000 9.6418
Ce Ta Mn O
2 2 2 12
direct
0.5000 0.5000 0.4933
0.0000 0.0000 0.9933
0.5000 0.5000 0.8302
0.0000 0.0000 0.3302
0.5000 0.5000 0.1662
0.0000 0.0000 0.6662
0.1761 0.8239 0.5016
0.8239 0.1761 0.5016
0.3239 0.3239 0.0016
0.6761 0.6761 0.0016
0.2025 0.7975 0.1868
0.7975 0.2025 0.1868
0.2975 0.2975 0.6868
0.7025 0.7025 0.6868
0.7933 0.2067 0.8168
0.2067 0.7933 0.8168
0.7067 0.7067 0.3168
0.2933 0.2933 0.3168
```

Computed properties:
The theoretical density comes out at 6.88 Mg/m³. The calculation puts the electronic total energy at -8.5926 eV per atom.